## Sc4ZnCu2Ir (PBE)

Data for crystalline Sc4ZnCu2Ir at its relaxed geometry.

space-group type = No. 166
total energy = -47.83 eV per cell

Unit cell a=8.0508 b=8.0508 c=8.0508 alpha=33.39 beta=33.39 gamma=33.39
Last column: nearest neighbours and their distance in Å.
Atoms (fractional coordinates):
Sc 0.1212 0.1212 0.1212  1 Ir 2.76, 4 Cu 2.78-2.85, 3 Zn 2.87
Sc 0.3718 0.3718 0.3718  3 Ir 2.81, 4 Cu 2.86-2.89, 1 Zn 2.92
Sc 0.6282 0.6282 0.6282  3 Ir 2.81, 4 Cu 2.86-2.89, 1 Zn 2.92
Sc 0.8788 0.8788 0.8788  1 Ir 2.76, 4 Cu 2.78-2.85, 3 Zn 2.87
Zn 0.5000 0.5000 0.5000  8 Sc 2.87-2.92
Cu 0.2463 0.2463 0.2463  8 Sc 2.78-2.89
Cu 0.7537 0.7537 0.7537  8 Sc 2.78-2.89
Ir 0.0000 0.0000 0.0000  8 Sc 2.76-2.81